No. 1
First-principles (PBE) data for crystalline KFeAgCl5 at its relaxed geometry, as listed in Alexandria.

Structure (extended XYZ):
```
16
Lattice="-2.252 0.871 7.384 5.370 -5.615 0.032 4.913 7.180 -1.241" Properties=species:S:1:pos:R:3 pbc="T T T"
Ag 0.000 0.000 0.000
K 4.026 -1.631 2.203
Cl 4.335 1.963 1.360
Cl 5.949 -3.268 0.348
Fe 1.486 0.530 4.653
Ag 2.456 3.590 -0.621
Cl 0.868 2.634 4.330
Fe 6.544 1.906 1.523
Cl 7.163 -0.197 1.845
Cl 0.859 -0.760 2.964
K 4.005 4.068 3.972
Cl 7.506 2.665 -0.324
Cl 2.081 5.705 5.828
Cl 3.695 0.474 4.816
Cl 7.171 3.196 3.211
Cl 0.524 -0.228 6.500
```



No. 2
First-principles (PBE) data for crystalline KFe2AgCl6 at its relaxed geometry, as listed in Alexandria.

Structure (extended XYZ):
```
20
Lattice="-3.365 -6.072 -2.307 6.976 -5.121 -3.735 0.093 -5.605 7.577" Properties=species:S:1:pos:R:3 pbc="T T T"
K 5.365 -6.693 -3.047
Cl 3.296 -13.573 2.703
Cl 1.322 -6.744 -0.209
Cl -0.871 -7.718 2.684
Cl -0.251 -12.337 2.864
Fe 4.428 -9.169 1.146
K -1.661 -10.104 4.581
Ag 2.762 -9.793 -2.687
Cl -2.408 -6.340 -0.458
Fe 1.984 -4.520 -0.143
Ag 0.943 -7.004 4.221
Cl 4.576 -9.080 -1.150
Cl 3.955 -4.460 -1.330
Cl 4.708 -6.972 1.841
Cl -1.003 -9.825 -0.306
Cl 6.113 -10.457 1.993
Fe -0.724 -7.628 0.389
Fe 1.720 -12.277 1.677
Cl 2.382 -10.053 1.744
Cl 0.409 -3.225 -1.168
```

Computed properties:
N(E_F)   1.122 states/eV/atom



No. 3
First-principles (PBE) data for crystalline LiFe2AgCl8 at its relaxed geometry, as listed in Alexandria.

Structure (extended XYZ):
```
12
Lattice="7.387 0.272 0.000 -3.032 6.741 0.000 -2.177 -3.507 6.132" Properties=species:S:1:pos:R:3 pbc="T T T"
Fe 2.177 3.507 0.000
Cl 0.311 -1.818 4.908
Cl 3.945 4.034 1.224
Ag -1.516 3.371 3.066
Cl 4.046 -1.661 4.314
Cl 0.409 2.979 1.224
Cl 1.926 -0.344 1.818
Cl 3.340 1.933 4.314
Cl -0.311 1.818 4.908
Cl 5.460 0.617 1.818
Fe 3.693 0.136 3.066
Li 0.000 0.000 0.000
```



No. 4
First-principles (PBE) data for crystalline MgFeAgCl6 at its relaxed geometry, as listed in Alexandria.

Structure (extended XYZ):
```
18
Lattice="-4.330 3.224 3.083 -0.116 -6.215 0.068 6.856 -0.023 9.651" Properties=species:S:1:pos:R:3 pbc="T T T"
Cl 0.824 -0.969 4.677
Cl -1.806 -0.755 6.546
Cl -3.318 0.970 4.355
Cl 3.092 -4.059 10.320
Ag 0.000 0.000 0.000
Cl 4.216 -2.259 6.256
Fe 3.621 -3.086 8.311
Cl -0.682 1.045 2.482
Cl -0.336 1.932 5.509
Cl 2.746 -4.946 7.294
Ag 3.428 -0.011 4.826
Cl 5.727 -3.984 8.448
Mg 2.217 0.060 9.316
Cl 4.360 -1.222 9.426
Cl -1.950 -1.792 3.376
Mg 0.193 -3.075 3.486
Fe -1.211 0.072 4.491
Cl 1.586 -2.045 8.125
```

Computed properties:
N(E_F)   1.049 states/eV/atom



No. 5
First-principles (PBE) data for crystalline NaFeAgCl4 at its relaxed geometry, as listed in Alexandria.

Structure (extended XYZ):
```
14
Lattice="7.793 0.000 0.000 3.897 6.746 0.046 3.897 2.099 6.411" Properties=species:S:1:pos:R:3 pbc="T T T"
Cl 5.896 3.260 4.820
Ag 1.948 1.050 3.206
Na 3.897 4.423 3.229
Na 0.000 0.000 0.000
Cl 9.690 5.585 1.638
Cl 3.897 2.189 1.509
Cl 5.896 5.585 1.638
Cl 11.690 6.656 4.948
Cl 9.690 3.260 4.820
Cl 7.793 2.318 1.603
Ag 5.845 1.050 3.206
Fe 7.793 4.504 0.849
Cl 7.793 6.527 4.854
Fe 7.793 4.342 5.609
```

Computed properties:
N(E_F)   0.920 states/eV/atom



No. 6
First-principles (PBE) data for crystalline Na2FeAgCl6 at its relaxed geometry, as listed in Alexandria.

Structure (extended XYZ):
```
20
Lattice="-4.903 -0.869 -4.297 4.527 0.249 -5.216 1.170 -9.470 0.564" Properties=species:S:1:pos:R:3 pbc="T T T"
Fe -1.866 -5.170 -1.867
Cl -2.572 -3.132 -2.682
Na 4.283 -2.168 -4.756
Cl -0.926 -9.448 -4.240
Cl 0.543 -5.774 -7.368
Cl -1.637 -2.766 -6.431
Ag -2.451 -0.435 -2.148
Cl 0.252 -4.316 -1.581
Fe 2.264 0.124 -2.608
Cl 3.367 -6.958 -6.267
Cl 1.721 -0.642 -4.709
Cl 2.432 -7.325 -2.518
Na -0.137 -2.671 -4.037
Cl 2.113 -4.270 -4.939
Cl 0.253 -0.667 -1.804
Na -3.488 -7.922 -4.193
Cl -1.318 -5.821 -4.010
Ag 2.849 -4.611 -2.326
Na 0.932 -7.419 -4.911
Cl 0.542 -9.423 -7.145
```

Computed properties:
N(E_F)   1.020 states/eV/atom



No. 7
First-principles (PBE) data for crystalline NaFe2AgCl8 at its relaxed geometry, as listed in Alexandria.

Structure (extended XYZ):
```
12
Lattice="-3.724 -6.240 -0.682 1.435 2.687 6.633 -6.675 4.004 -0.177" Properties=species:S:1:pos:R:3 pbc="T T T"
Ag -3.338 2.002 -0.089
Cl -4.305 4.119 5.324
Cl -6.179 0.977 4.918
Fe -5.755 2.992 4.049
Fe -3.209 -2.542 1.724
Na 0.000 0.000 0.000
Cl -4.999 2.812 1.953
Cl -3.965 -2.362 3.820
Cl -0.930 0.098 4.177
Cl -8.035 0.352 1.596
Cl -2.786 -0.526 0.855
Cl -4.660 -3.668 0.450
```



No. 8
First-principles (PBE) data for crystalline Na2FeAg2Cl6 at its relaxed geometry, as listed in Alexandria.

Structure (extended XYZ):
```
11
Lattice="-3.395 -3.797 -4.452 3.733 -3.030 4.758 -5.448 0.896 4.142" Properties=species:S:1:pos:R:3 pbc="T T T"
Cl -2.751 -0.390 4.281
Na -1.389 -2.840 3.731
Cl -4.794 -0.610 1.642
Cl -1.566 -1.441 1.332
Cl -0.316 -5.321 2.807
Fe -2.724 0.448 2.071
Ag -2.461 -3.696 -3.246
Ag 2.800 -3.130 3.552
Cl -3.544 -4.490 3.117
Na -3.721 -3.091 0.718
Cl -2.358 -5.541 0.168
```



No. 9
First-principles (PBE) data for crystalline FeAg2OsCl at its relaxed geometry, as listed in Alexandria.

Structure (extended XYZ):
```
5
Lattice="-0.250 0.906 4.921 3.173 -2.827 0.682 3.376 3.667 -0.504" Properties=species:S:1:pos:R:3 pbc="T T T"
Os 1.586 -1.413 0.341
Ag -0.125 0.453 2.460
Cl 3.149 0.873 2.549
Fe 0.000 0.000 0.000
Ag 1.688 1.834 -0.252
```

Computed properties:
N(E_F)   0.971 states/eV/atom



No. 10
First-principles (PBE) data for crystalline FeAg2PdCl at its relaxed geometry, as listed in Alexandria.

Structure (extended XYZ):
```
5
Lattice="-1.259 2.315 -4.460 -4.297 0.375 1.408 1.086 4.615 2.088" Properties=species:S:1:pos:R:3 pbc="T T T"
Cl -2.149 0.187 0.704
Ag 0.543 2.307 1.044
Pd 0.000 0.000 0.000
Fe -2.235 3.652 -0.482
Ag -0.630 1.157 -2.230
```

Computed properties:
N(E_F)   1.693 states/eV/atom



No. 11
First-principles (PBE) data for crystalline RbFeAgCl5 at its relaxed geometry, as listed in Alexandria.

Structure (extended XYZ):
```
16
Lattice="7.947 -0.001 0.282 -2.320 7.600 0.282 -2.010 -2.715 8.150" Properties=species:S:1:pos:R:3 pbc="T T T"
Ag 0.000 0.000 0.000
Cl 1.015 3.003 7.999
Rb 0.667 4.338 2.319
Cl 3.581 3.205 3.924
Ag -1.005 -1.358 4.075
Cl -2.481 2.620 7.279
Rb 2.949 0.547 6.394
Cl 0.035 1.679 4.790
Cl 2.601 1.882 0.715
Fe -0.509 3.107 6.394
Cl -1.998 6.311 2.319
Cl 4.235 -0.250 3.204
Cl 6.097 2.264 1.435
Cl -0.619 5.135 5.510
Fe 4.125 1.778 2.319
Cl 5.614 -1.426 6.394
```



No. 12
First-principles (PBE) data for crystalline Rb3FeAg2Cl9 at its relaxed geometry, as listed in Alexandria.

Structure (extended XYZ):
```
15
Lattice="7.260 0.000 0.000 -3.630 6.287 0.000 0.000 0.000 8.915" Properties=species:S:1:pos:R:3 pbc="T T T"
Rb 0.000 0.000 0.000
Cl 3.630 0.000 0.000
Cl 1.815 3.144 0.000
Cl -1.921 5.301 3.081
Cl 3.630 4.314 5.833
Rb 0.000 4.191 6.082
Rb 3.630 2.096 2.832
Cl 0.000 1.973 3.081
Cl -1.815 3.144 0.000
Ag 3.630 2.096 7.396
Cl 1.708 0.986 5.833
Ag 0.000 4.191 1.518
Cl 1.921 5.301 3.081
Cl 5.551 0.986 5.833
Fe 0.000 0.000 4.457
```

Computed properties:
N(E_F)   0.258 states/eV/atom



No. 13
First-principles (PBE) data for crystalline RbFeAgCl6 at its relaxed geometry, as listed in Alexandria.

Structure (extended XYZ):
```
9
Lattice="-6.937 1.042 0.876 -4.512 -4.245 -2.162 -0.302 -3.369 6.296" Properties=species:S:1:pos:R:3 pbc="T T T"
Cl -8.851 -4.565 0.290
Cl -8.470 -1.628 1.745
Cl -9.848 -3.988 3.667
Ag -3.970 -2.773 2.707
Cl -5.677 -3.455 1.020
Rb -4.469 -4.051 -2.055
Cl -6.532 -3.416 4.249
Cl -7.387 -6.151 2.610
Fe -7.760 -3.705 2.353
```

Computed properties:
N(E_F)   0.109 states/eV/atom



No. 14
First-principles (PBE) data for crystalline Rb3Fe2AgCl8 at its relaxed geometry, as listed in Alexandria.

Structure (extended XYZ):
```
14
Lattice="7.333 0.000 0.000 -3.666 6.350 0.000 0.000 0.000 9.319" Properties=species:S:1:pos:R:3 pbc="T T T"
Cl 1.826 5.288 2.913
Cl 3.666 4.225 6.406
Rb 0.000 4.234 5.866
Cl 0.000 2.125 2.913
Cl 0.000 4.234 9.051
Fe 3.666 2.117 7.349
Ag 0.000 0.000 4.659
Rb 3.666 2.117 3.452
Rb 0.000 0.000 0.000
Fe 0.000 4.234 1.970
Cl 1.840 1.062 6.406
Cl -1.826 5.288 2.913
Cl 5.492 1.062 6.406
Cl 3.666 2.117 0.267
```

Computed properties:
N(E_F)   1.006 states/eV/atom



No. 15
First-principles (PBE) data for crystalline Rb3Fe2AgCl9 at its relaxed geometry, as listed in Alexandria.

Structure (extended XYZ):
```
15
Lattice="-0.607 -6.771 2.303 5.971 3.738 1.378 -3.572 2.905 7.599" Properties=species:S:1:pos:R:3 pbc="T T T"
Rb 0.000 0.000 0.000
Fe -1.389 -0.849 8.323
Cl 3.405 -0.405 5.041
Cl -0.304 -3.386 1.152
Fe 3.181 0.721 2.957
Ag -1.786 1.453 3.800
Cl -1.612 0.276 6.239
Cl 2.682 -1.517 1.840
Cl 0.945 -1.170 7.994
Cl 2.986 1.869 0.689
Rb 0.391 -2.296 4.538
Rb 1.402 2.168 6.743
Cl 3.694 2.824 3.943
Cl 0.847 1.042 3.286
Cl -1.902 -2.952 7.337
```

Computed properties:
N(E_F)   0.560 states/eV/atom



No. 16
First-principles (PBE) data for crystalline FeReAg2Cl at its relaxed geometry, as listed in Alexandria.

Structure (extended XYZ):
```
5
Lattice="5.033 0.000 0.000 0.000 4.126 0.000 0.000 0.000 5.033" Properties=species:S:1:pos:R:3 pbc="T T T"
Ag 0.000 0.000 2.516
Re 2.516 2.063 2.516
Ag 2.516 0.000 0.000
Fe 0.000 0.000 0.000
Cl 0.000 2.063 0.000
```

Computed properties:
N(E_F)   0.513 states/eV/atom



No. 17
First-principles (PBE) data for crystalline FeRe2AgCl at its relaxed geometry, as listed in Alexandria.

Structure (extended XYZ):
```
5
Lattice="4.341 0.000 0.000 0.000 4.720 0.000 0.000 0.000 4.341" Properties=species:S:1:pos:R:3 pbc="T T T"
Ag 0.000 2.360 0.000
Re 2.171 0.000 0.000
Fe 2.171 2.360 2.171
Cl 0.000 0.000 0.000
Re 0.000 0.000 2.171
```

Computed properties:
N(E_F)   1.383 states/eV/atom



No. 18
First-principles (PBE) data for crystalline FeAg2SCl at its relaxed geometry, as listed in Alexandria.

Structure (extended XYZ):
```
5
Lattice="-2.037 -4.642 -1.207 3.654 -1.385 -0.838 0.555 -1.531 4.950" Properties=species:S:1:pos:R:3 pbc="T T T"
Ag 0.278 -0.766 2.475
Cl 1.086 -3.779 1.452
Ag -1.018 -2.321 -0.604
Fe 0.000 0.000 0.000
S 1.827 -0.693 -0.419
```

Computed properties:
N(E_F)   0.688 states/eV/atom



No. 19
First-principles (PBE) data for crystalline SrFe2AgCl8 at its relaxed geometry, as listed in Alexandria.

Structure (extended XYZ):
```
12
Lattice="-5.402 -3.925 3.048 6.661 -2.964 -0.850 2.112 2.684 7.200" Properties=species:S:1:pos:R:3 pbc="T T T"
Cl 6.242 -1.189 5.057
Cl -0.079 -1.055 2.791
Ag 1.056 1.342 3.600
Cl 2.841 -3.030 1.133
Cl 3.450 -3.150 6.607
Cl -2.870 -3.016 4.341
Cl 0.531 -1.175 8.266
Fe 4.375 -1.080 6.363
Cl 2.860 0.370 5.469
Fe -1.003 -3.125 3.036
Sr 0.000 0.000 0.000
Cl 0.512 -4.575 3.930
```

Computed properties:
N(E_F)   0.740 states/eV/atom



No. 20
First-principles (PBE) data for crystalline Tl3Fe2AgCl8 at its relaxed geometry, as listed in Alexandria.

Structure (extended XYZ):
```
14
Lattice="-1.209 5.036 5.121 -0.537 -7.073 1.650 8.774 -0.149 2.219" Properties=species:S:1:pos:R:3 pbc="T T T"
Fe 1.035 -3.067 3.261
Tl 2.271 0.944 4.787
Tl 0.000 0.000 0.000
Cl -0.603 0.993 4.060
Cl 5.623 0.393 3.514
Cl 7.631 -3.179 4.929
Cl 5.014 2.927 6.092
Ag 4.387 -0.074 1.109
Cl 1.405 -2.579 5.475
Tl 4.756 -3.131 4.202
Fe 5.993 0.881 5.728
Cl 4.744 -0.633 6.922
Cl 2.284 -1.553 2.067
Cl 2.014 -5.114 2.898
```

Computed properties:
N(E_F)   0.943 states/eV/atom



no.,uncorrected energy (eV per atom)
1,-3.73
2,-4.08
3,-3.87
4,-3.61
5,-3.78
6,-3.51
7,-3.86
8,-3.42
9,-4.15
10,-3.34
11,-3.73
12,-3.39
13,-3.48
14,-3.88
15,-3.82
16,-4.26
17,-5.69
18,-3.77
19,-4.11
20,-3.75